TlInGaHg, optimized geometry, DFT PBE; density of states at the Fermi level = 0.9 states/eV/cell; energy relative to the elements = 0.15 eV/f.u.; E above lowest polymorph = 0.0 kJ/mol of atoms; total magnetic moment = 0.000 μB per atom
1.0
3.6460 0.0000 0.0000
0.0000 3.6449 0.0000
-0.0038 0.0000 7.7602
Tl In Ga Hg
1 1 1 1
direct
0.0000 0.0000 0.0000 Tl
0.4999 0.5000 0.7087 In
0.9980 0.0000 0.4815 Ga
0.4986 0.5000 0.2733 Hg